10
Lattice="2.578 1.488 4.621 -2.578 1.488 4.621 0.000 -2.976 4.621" Properties=species:S:1:pos:R:3 comment="PBE+U ZnNi2IrO6, relaxed" dos_ef_per_ev_fu=2.27 space_group="R3 (146)" vol_a3_per_atom=10.64 total_energy_ev_per_atom=-5.4214 pbc="T T T"
Zn 0.000 0.000 0.000
Ni 0.000 0.000 2.937
Ni 0.000 0.000 9.978
Ir 0.000 0.000 7.199
O -0.749 -1.515 6.250
O -1.522 0.035 8.494
O -0.938 1.406 6.250
O 0.731 -1.335 8.494
O 1.687 0.109 6.250
O 0.791 1.301 8.494